(1)
This record from the Alexandria database describes a relaxed NiRuPt crystal. The functional is PBE.

Computed properties:
The relative energy among the computed polymorphs comes out at 53.1 meV/atom. As for the total energy: -6.97 eV/atom. Its density of states at the Fermi level is 4.75 states/eV/cell. As for the energy of formation: 67 meV per atom.

a b c (Å): 2.7096 2.7096 6.4576
angles (deg): 90.00 90.00 120.00
Space group P3m1 (No. 156)
Asymmetric unit:
Ni: 0.0000 0.0000 0.0000
Ru: 0.3333 0.6667 0.6917
Pt: 0.6667 0.3333 0.3362

---

(2)
This record from the Alexandria database describes a relaxed KHg3Pt crystal. The functional is PBE.

Computed properties:
The relative energy among the computed polymorphs comes out at 112.0 meV/atom. As for the total energy: -1.77 eV/atom. Its density of states at the Fermi level is 1.47 states/eV/cell. As for the energy of formation: -157 meV per atom.

a b c (Å): 6.340 6.934 7.450
angles (deg): 83.16 79.98 69.27
Space group P1 (No. 1)
Asymmetric unit:
K: 0.000 0.000 0.000
K: 0.279 0.882 0.496
Hg: 0.139 0.441 0.747
Hg: 0.356 0.302 0.153
Hg: 0.604 0.738 0.058
Hg: 0.639 0.442 0.749
Hg: 0.676 0.145 0.438
Hg: 0.923 0.580 0.344
Pt: 0.499 0.108 0.824
Pt: 0.780 0.775 0.672